No. 1
VASP calculation (PBE-GGA) on crystalline SnWSeBr2 at its relaxed geometry.

POSCAR file:
```
SnWSeBr2
1.0
5.232 0.000 0.000
0.000 5.232 0.000
0.000 0.000 4.939
Se Sn W Br
1 1 1 2
Cartesian
0.000 0.000 2.470 Se
2.616 2.616 2.470 Sn
0.000 0.000 0.000 W
2.616 0.000 0.000 Br
0.000 2.616 0.000 Br
```

Results
Symmetry: P4/mmm
Volume: 135.2 Å³/f.u.
VASP energy: -22.0 eV for the cell shown
Theoretical density: 6.65 g/cm³

---

No. 2
VASP calculation (PBE-GGA) on crystalline SnWSe2Br at its relaxed geometry.

POSCAR file:
```
SnWSe2Br
1.0
4.925 0.000 0.000
0.000 4.925 0.000
0.000 0.000 5.329
Se Sn Br W
2 1 1 1
Cartesian
2.463 0.000 0.000 Se
0.000 2.463 0.000 Se
2.463 2.463 2.664 Sn
0.000 0.000 2.664 Br
0.000 0.000 0.000 W
```

Results
Symmetry: P4/mmm
Volume: 129.3 Å³/f.u.
VASP energy: -24.3 eV for the cell shown
Theoretical density: 6.94 g/cm³